Record 1
VASP calculation (PBE) on a relaxed ScZn4Ag3 crystal.

Properties
Calculated density = 7.79 g cm⁻³
E_tot = -2.6145 eV per atom
Crystal system = orthorhombic

Unit cell a=9.110 b=6.467 c=4.557 alpha=90.00 beta=90.00 gamma=90.00
Sites, in units of the cell vectors:
1 Sc 0.000 0.000 0.000
2 Sc 0.500 0.000 0.000
3 Zn 0.000 0.262 0.500
4 Zn 0.000 0.738 0.500
5 Zn 0.250 0.261 0.019
6 Zn 0.250 0.739 0.019
7 Zn 0.500 0.262 0.500
8 Zn 0.500 0.738 0.500
9 Zn 0.750 0.261 0.981
10 Zn 0.750 0.739 0.981
11 Ag 0.000 0.500 0.000
12 Ag 0.250 0.000 0.515
13 Ag 0.250 0.500 0.521
14 Ag 0.500 0.500 0.000
15 Ag 0.750 0.000 0.485
16 Ag 0.750 0.500 0.479

Record 2
VASP calculation (PBE) on a relaxed Pm6CuBr8 crystal.

Properties
Calculated density = 5.30 g cm⁻³
Crystal system = trigonal
ΔE_f (raw) = -31.09 kcal/mol of atoms

Unit cell a=11.598 b=11.598 c=11.598 alpha=36.45 beta=36.45 gamma=36.45
Sites, in units of the cell vectors:
1 Pm 0.051 0.361 0.741
2 Pm 0.259 0.949 0.639
3 Pm 0.361 0.741 0.051
4 Pm 0.639 0.259 0.949
5 Pm 0.741 0.051 0.361
6 Pm 0.949 0.639 0.259
7 Cu 0.000 0.000 0.000
8 Br 0.107 0.765 0.449
9 Br 0.235 0.551 0.893
10 Br 0.333 0.333 0.333
11 Br 0.449 0.107 0.765
12 Br 0.551 0.893 0.235
13 Br 0.667 0.667 0.667
14 Br 0.765 0.449 0.107
15 Br 0.893 0.235 0.551

Record 3
VASP calculation (PBE) on a relaxed Ho4TeOs crystal.

Properties
Calculated density = 7.57 g cm⁻³
Crystal system = monoclinic
ΔE_f (raw) = -7.35 kcal/mol of atoms
Energy above the lowest structure with this stoichiometry = 7.059 kcal/mol of atoms

Unit cell a=9.470 b=9.470 c=9.510 alpha=111.12 beta=111.12 gamma=32.87
Sites, in units of the cell vectors:
1 Ho 0.021 0.021 0.244
2 Ho 0.196 0.196 0.902
3 Ho 0.236 0.236 0.302
4 Ho 0.398 0.398 0.967
5 Ho 0.602 0.602 0.033
6 Ho 0.764 0.764 0.698
7 Ho 0.804 0.804 0.098
8 Ho 0.979 0.979 0.756
9 Te 0.166 0.166 0.559
10 Te 0.834 0.834 0.441
11 Os 0.094 0.094 0.050
12 Os 0.906 0.906 0.950

What is the formula in the second record?
Pm6CuBr8

Look up the calculated density of the second one.
5.30 g cm⁻³

Which of these has the lowest calculated density?
Pm6CuBr8